# 1
Computed, not measured: crystalline TiTcTe at its relaxed geometry at the PBE level of DFT.

The structure in CIF format:
```
data_TiTcTe
_cell_length_a 3.2609
_cell_length_b 3.2612
_cell_length_c 12.1248
_cell_angle_alpha 90.00
_cell_angle_beta 90.00
_cell_angle_gamma 120.00
_space_group_name_H-M_alt 'P 1'
_space_group_IT_number 1
_space_group_name_Hall 'P 1'
loop_
_atom_site_label
_atom_site_fract_x
_atom_site_fract_y
_atom_site_fract_z
_atom_site_occupancy
Tc1 0.6107 0.2215 0.0000 1
Tc2 0.2782 0.5565 0.5000 1
Te1 0.6114 0.2229 0.3349 1
Te2 0.6114 0.2229 0.6651 1
Ti1 0.2774 0.5547 0.8505 1
Ti2 0.2774 0.5547 0.1495 1
```


# 2
Computed, not measured: crystalline TiTc2Te at its relaxed geometry at the PBE level of DFT.

The structure in CIF format:
```
data_TiTc2Te
_cell_length_a 3.8911
_cell_length_b 3.8911
_cell_length_c 10.1164
_cell_angle_alpha 78.91
_cell_angle_beta 78.91
_cell_angle_gamma 90.00
_space_group_name_H-M_alt 'P 1'
_space_group_IT_number 1
_space_group_name_Hall 'P 1'
loop_
_atom_site_label
_atom_site_fract_x
_atom_site_fract_y
_atom_site_fract_z
_atom_site_occupancy
Te1 0.0000 0.0000 0.0000 1
Te2 0.7500 0.2500 0.5000 1
Tc1 0.5691 0.1250 0.2500 1
Tc2 0.1809 0.6250 0.2500 1
Tc3 0.3750 0.4309 0.7500 1
Tc4 0.8750 0.8191 0.7500 1
Ti1 0.5000 0.5000 0.0000 1
Ti2 0.2500 0.7500 0.5000 1
```


# 3
Computed, not measured: crystalline TiTcTe2 at its relaxed geometry at the PBE level of DFT.

The structure in CIF format:
```
data_TiTcTe2
_cell_length_a 4.7638
_cell_length_b 4.7638
_cell_length_c 4.7638
_cell_angle_alpha 60.00
_cell_angle_beta 60.00
_cell_angle_gamma 60.00
_space_group_name_H-M_alt 'P 1'
_space_group_IT_number 1
_space_group_name_Hall 'P 1'
loop_
_atom_site_label
_atom_site_fract_x
_atom_site_fract_y
_atom_site_fract_z
_atom_site_occupancy
Te1 0.2500 0.2500 0.2500 1
Te2 0.7500 0.7500 0.7500 1
Tc1 0.5000 0.5000 0.5000 1
Ti1 0.0000 0.0000 0.0000 1
```

Results
offset from the most stable computed form	0	meV per atom


# 4
Computed, not measured: crystalline TiTc3Te at its relaxed geometry at the PBE level of DFT.

The structure in CIF format:
```
data_TiTc3Te
_cell_length_a 4.5975
_cell_length_b 4.5975
_cell_length_c 4.5975
_cell_angle_alpha 90.00
_cell_angle_beta 90.00
_cell_angle_gamma 90.00
_space_group_name_H-M_alt 'P 1'
_space_group_IT_number 1
_space_group_name_Hall 'P 1'
loop_
_atom_site_label
_atom_site_fract_x
_atom_site_fract_y
_atom_site_fract_z
_atom_site_occupancy
Te1 0.5000 0.5000 0.5000 1
Tc1 0.0000 0.5000 0.0000 1
Tc2 0.0000 0.0000 0.5000 1
Tc3 0.5000 0.0000 0.0000 1
Ti1 0.0000 0.0000 0.0000 1
```

Results
offset from the most stable computed form	0	meV per atom


| no. | DFT total energy (eV/atom) |
| --- | --- |
| 1 | -7.0759 |
| 2 | -7.5730 |
| 3 | -6.1271 |
| 4 | -7.1265 |